Computed, not measured: a geometry-optimized Ho4IrRh structure at the PBE-GGA level of DFT.

Unit cell a=6.771 b=6.771 c=8.274 alpha=113.79 beta=113.79 gamma=91.13
Atoms (fractional coordinates):
1 Rh 0.875 0.125 0.250
2 Rh 0.125 0.875 0.750
3 Ho 0.995 0.252 0.000
4 Ho 0.252 0.994 0.500
5 Ho 0.505 0.748 0.000
6 Ho 0.495 0.252 0.000
7 Ho 0.005 0.748 0.000
8 Ho 0.252 0.495 0.500
9 Ho 0.748 0.505 0.500
10 Ho 0.748 0.006 0.500
11 Ir 0.375 0.625 0.250
12 Ir 0.625 0.375 0.750

## Properties
Formation energy from the elements: -663 meV per atom
Relative energy among the computed polymorphs: 28.1 meV per atom
Volume: 25.83 Å³/atom
Symmetry: No. 15